(1)
Entry from the Alexandria database: TbGd2As after structural relaxation (PBE).

Cell: 3.8926 3.8926 9.7788 Å, 78.52 78.52 60.00°
Element x y z (fractional)
As  0.0000  0.0000  0.0000
Gd  0.7286  0.7286  0.8141
Tb  0.5000  0.5000  0.5000
Gd  0.2714  0.2714  0.1859

Properties
- Mass density: 7.29 g/cm3
- Energy relative to the elements: -0.59 eV/atom
- Space-group type: No. 166
- N(E_F): 4.713 states/eV/f.u.
- E: -9.95 eV per atom
- V: 31.22 A^3/atom

(2)
Entry from the Alexandria database: K6ZnBi5 after structural relaxation (PBE).

Cell: 5.5930 11.6832 15.5187 Å, 90.00 90.00 90.00°
Element x y z (fractional)
K  0.5000  0.3137  0.7683
Bi  0.0000  0.1704  0.3523
K  0.5000  0.2545  0.5000
Zn  0.5000  0.9608  0.0000
K  0.0000  0.0615  0.1316
Bi  0.0000  0.4192  0.5986
K  0.0000  0.6863  0.2683
K  0.0000  0.7455  0.0000
Bi  0.0000  0.1704  0.6477
K  0.0000  0.0615  0.8684
K  0.0000  0.6863  0.7317
Bi  0.0000  0.8073  0.5000
Bi  0.5000  0.5808  0.0986
Bi  0.5000  0.1927  0.0000
Zn  0.0000  0.0392  0.5000
Bi  0.5000  0.5808  0.9014
Bi  0.0000  0.4192  0.4014
K  0.5000  0.9385  0.3684
K  0.5000  0.6088  0.5000
K  0.0000  0.3912  0.0000
Bi  0.5000  0.8296  0.1477
Bi  0.5000  0.8296  0.8523
K  0.5000  0.3137  0.2317
K  0.5000  0.9385  0.6316

Properties
- Mass density: 4.40 g/cm3
- Energy relative to the elements: -0.36 eV/atom
- Space-group type: No. 59
- N(E_F): 2.504 states/eV/f.u.
- E: -2.64 eV per atom
- V: 42.25 A^3/atom

(3)
Entry from the Alexandria database: Rb2AlTcCl6 after structural relaxation (PBE).

Cell: 7.3107 7.3107 7.3041 Å, 59.97 59.97 90.00°
Element x y z (fractional)
Cl  0.2376  0.2376  0.5248
Rb  0.7500  0.2500  0.5000
Cl  0.2370  0.2370  0.0000
Cl  0.7624  0.7624  0.4752
Al  0.5000  0.5000  0.0000
Cl  0.2370  0.7630  0.0000
Tc  0.0000  0.0000  0.0000
Rb  0.2500  0.7500  0.5000
Cl  0.7630  0.7630  0.0000
Cl  0.7630  0.2370  0.0000

Properties
- Mass density: 3.06 g/cm3
- Space-group type: No. 139
- N(E_F): 9.983 states/eV/f.u.
- E: -3.83 eV per atom
- Formation energy without anion corrections: -1.117 eV per atom
- V: 27.58 A^3/atom

(4)
Entry from the Alexandria database: PuTh14Sc after structural relaxation (PBE).

Cell: 7.1051 7.1051 11.4766 Å, 90.00 90.00 119.64°
Element x y z (fractional)
Th  0.5446  0.9519  0.5000
Th  0.3749  0.6251  0.2507
Th  0.0481  0.4554  0.5000
Th  0.3729  0.1260  0.7446
Th  0.3749  0.6251  0.7493
Th  0.7070  0.2930  0.0000
Sc  0.0416  0.9584  0.5000
Th  0.8759  0.1241  0.2516
Pu  0.5414  0.4586  0.5000
Th  0.7076  0.7924  0.0000
Th  0.8740  0.6271  0.2554
Th  0.8759  0.1241  0.7484
Th  0.2076  0.2924  0.0000
Th  0.3729  0.1260  0.2554
Th  0.8740  0.6271  0.7446
Th  0.2067  0.7933  0.0000

Properties
- Mass density: 11.67 g/cm3
- Energy relative to the elements: 0.04 eV/atom
- Space-group type: No. 38
- N(E_F): 23.528 states/eV/f.u.
- E: -7.74 eV per atom
- V: 31.47 A^3/atom

(5)
Entry from the Alexandria database: NiAgP2 after structural relaxation (PBE).

Cell: 3.2590 3.2587 5.6307 Å, 90.00 90.00 90.00°
Element x y z (fractional)
Ag  0.5000  0.5000  0.2500
P  0.0000  0.0000  0.9401
P  0.0000  0.0000  0.5599
Ni  0.5000  0.5000  0.7500

Properties
- Mass density: 6.35 g/cm3
- Energy relative to the elements: 0.14 eV/atom
- Space-group type: No. 123
- N(E_F): 1.589 states/eV/f.u.
- E: -4.73 eV per atom
- E above lowest polymorph: 0.2127 eV/atom
- V: 14.95 A^3/atom

(6)
Entry from the Alexandria database: SiHgMo2 after structural relaxation (PBE).

Cell: 4.0794 2.8715 5.9319 Å, 78.41 90.00 90.00°
Element x y z (fractional)
Si  0.0000  0.6382  0.4470
Mo  0.0000  0.0075  0.0360
Hg  0.5000  0.6108  0.7522
Mo  0.5000  0.2435  0.2648

Properties
- Mass density: 10.26 g/cm3
- Space-group type: No. 6
- N(E_F): 2.624 states/eV/f.u.
- E: -6.47 eV per atom
- Formation energy without anion corrections: 0.375 eV per atom
- E above lowest polymorph: 0.2028 eV/atom
- V: 17.02 A^3/atom

(7)
Entry from the Alexandria database: La4GePdBr2 after structural relaxation (PBE).

Cell: 4.2930 7.7899 7.6149 Å, 108.38 90.00 90.00°
Element x y z (fractional)
La  0.5000  0.2389  0.2285
Br  0.0000  0.5000  0.5000
La  0.0000  0.2656  0.7828
Br  0.5000  0.0000  0.5000
Ge  0.0000  0.0000  0.0000
La  0.0000  0.7344  0.2172
Pd  0.5000  0.5000  0.0000
La  0.5000  0.7611  0.7715

Properties
- Mass density: 6.15 g/cm3
- Space-group type: No. 10
- N(E_F): 7.394 states/eV/f.u.
- E: -5.23 eV per atom
- Formation energy without anion corrections: -1.121 eV per atom
- V: 30.21 A^3/atom